Record 1
First-principles (PBE-GGA) data for a geometry-optimized BaFe2PI structure, as listed in Alexandria via LeMat-Bulk.

Cell: 4.531 7.015 4.531 Å, 90.00 90.00 90.00°
Atoms (fractional coordinates):
I (0.000, 0.500, 0.000)
P (0.000, 0.000, 0.000)
Ba (0.500, 0.500, 0.500)
Fe (0.000, 0.000, 0.500)
Fe (0.500, 0.000, 0.000)

Computed properties:
- total magnetization (μB/atom) = 1.045
- uncorrected formation energy (meV per atom) = 92
- final energy (eV/atom) = -5.07



Record 2
First-principles (PBE-GGA) data for a geometry-optimized Ba4Fe2S4I5 structure, as listed in Alexandria via LeMat-Bulk.

Cell: 10.175 10.175 10.175 Å, 93.57 93.57 151.09°
Atoms (fractional coordinates):
I (0.705, 0.366, 0.071)
I (0.634, 0.705, 0.339)
I (0.295, 0.634, 0.929)
I (0.000, 0.000, 0.000)
I (0.366, 0.295, 0.661)
S (0.096, 0.420, 0.516)
S (0.580, 0.096, 0.676)
S (0.904, 0.580, 0.484)
S (0.420, 0.904, 0.324)
Ba (0.944, 0.252, 0.197)
Ba (0.748, 0.944, 0.692)
Ba (0.252, 0.056, 0.308)
Ba (0.056, 0.748, 0.803)
Fe (0.250, 0.750, 0.500)
Fe (0.750, 0.250, 0.500)

Computed properties:
- total magnetization (μB/atom) = 0.066
- uncorrected formation energy (meV per atom) = -1453
- final energy (eV/atom) = -4.71



Record 3
First-principles (PBE-GGA) data for a geometry-optimized BaFeSb2I structure, as listed in Alexandria via LeMat-Bulk.

Cell: 4.979 4.979 6.080 Å, 90.00 90.00 90.00°
Atoms (fractional coordinates):
I (0.000, 0.000, 0.500)
Sb (0.000, 0.500, 0.000)
Sb (0.500, 0.000, 0.000)
Ba (0.500, 0.500, 0.500)
Fe (0.000, 0.000, 0.000)

Computed properties:
- total magnetization (μB/atom) = 0.000
- uncorrected formation energy (meV per atom) = -250
- final energy (eV/atom) = -4.29



Record 4
First-principles (PBE-GGA) data for a geometry-optimized BaFeSb2I structure, as listed in Alexandria via LeMat-Bulk.

Cell: 6.532 6.532 6.519 Å, 90.00 90.00 90.00°
Atoms (fractional coordinates):
I (0.000, 0.000, 0.500)
Sb (0.000, 0.500, 0.000)
Sb (0.500, 0.000, 0.000)
Ba (0.000, 0.000, 0.000)
Fe (0.500, 0.500, 0.500)

Computed properties:
- total magnetization (μB/atom) = 1.199
- uncorrected formation energy (meV per atom) = 1138
- final energy (eV/atom) = -2.90



Record 5
First-principles (PBE-GGA) data for a geometry-optimized BaFeTe2I structure, as listed in Alexandria via LeMat-Bulk.

Cell: 5.246 5.246 5.988 Å, 90.00 90.00 90.00°
Atoms (fractional coordinates):
I (0.000, 0.000, 0.500)
Te (0.000, 0.500, 0.000)
Te (0.500, 0.000, 0.000)
Ba (0.500, 0.500, 0.500)
Fe (0.000, 0.000, 0.000)

Computed properties:
- total magnetization (μB/atom) = 0.701
- uncorrected formation energy (meV per atom) = -601
- final energy (eV/atom) = -4.25



Record 6
First-principles (PBE-GGA) data for a geometry-optimized BaFeTeI2 structure, as listed in Alexandria via LeMat-Bulk.

Cell: 6.715 6.715 6.879 Å, 90.00 90.00 90.00°
Atoms (fractional coordinates):
I (0.000, 0.500, 0.000)
I (0.500, 0.000, 0.000)
Te (0.000, 0.000, 0.500)
Ba (0.000, 0.000, 0.000)
Fe (0.500, 0.500, 0.500)

Computed properties:
- total magnetization (μB/atom) = 1.207
- uncorrected formation energy (meV per atom) = 253
- final energy (eV/atom) = -3.07



Record 7
First-principles (PBE-GGA) data for a geometry-optimized BaFeTeI2 structure, as listed in Alexandria via LeMat-Bulk.

Cell: 5.630 5.630 5.383 Å, 90.00 90.00 90.00°
Atoms (fractional coordinates):
I (0.000, 0.500, 0.000)
I (0.500, 0.000, 0.000)
Te (0.000, 0.000, 0.500)
Ba (0.500, 0.500, 0.500)
Fe (0.000, 0.000, 0.000)

Computed properties:
- total magnetization (μB/atom) = 0.707
- uncorrected formation energy (meV per atom) = -651
- final energy (eV/atom) = -3.98



Record 8
First-principles (PBE-GGA) data for a geometry-optimized Ba2TiFeI structure, as listed in Alexandria via LeMat-Bulk.

Cell: 6.068 4.796 6.068 Å, 90.00 90.00 90.00°
Atoms (fractional coordinates):
I (0.000, 0.500, 0.000)
Ti (0.500, 0.500, 0.500)
Ba (0.000, 0.000, 0.500)
Ba (0.500, 0.000, 0.000)
Fe (0.000, 0.000, 0.000)

Computed properties:
- total magnetization (μB/atom) = 0.037
- uncorrected formation energy (meV per atom) = 810
- final energy (eV/atom) = -3.54